Entry 1:
DFT (PBE-GGA) results for a geometry-optimized Tm4ThTe2 structure.

Cell: 6.6641 8.0866 9.1795 Å, 106.47 106.33 107.62°
With the nearest neighbours (Å) after each atom.
Space group P1 (No. 1)
Unique sites:
Tm (0.0000, 0.0000, 0.0000) x1  3 Te 3.17-3.32, 1 Th 3.29, 4 Tm 3.34-3.51
Tm (0.0061, 0.4512, 0.9691) x1  3 Te 2.91-3.14
Tm (0.0863, 0.1155, 0.4120) x1  3 Te 3.09-3.21, 3 Tm 3.27-3.46
Tm (0.1916, 0.6884, 0.4267) x1  2 Te 3.09-3.30, 1 Th 3.42
Tm (0.4789, 0.3956, 0.3392) x1  2 Te 3.18-3.23, 4 Tm 3.27-3.53, 1 Th 3.31
Tm (0.5024, 0.0269, 0.8354) x1  4 Te 2.93-3.10
Tm (0.5160, 0.5728, 0.7392) x1  4 Te 3.11-3.48, 1 Th 3.40, 1 Tm 3.45
Tm (0.7837, 0.8655, 0.5692) x1  3 Te 3.12-3.14, 3 Tm 3.33-3.46
Th (0.4291, 0.9091, 0.1828) x1  1 Th 3.18, 2 Te 3.24-3.29, 2 Tm 3.29-3.46
Th (0.6944, 0.6428, 0.1451) x1  1 Th 3.18, 5 Tm 3.31-3.53, 1 Te 3.39
Te (0.0680, 0.6825, 0.7497) x1  6 Tm 3.06-3.38
Te (0.2224, 0.2429, 0.8041) x1  5 Tm 2.91-3.21
Te (0.5902, 0.1712, 0.5701) x1  5 Tm 3.09-3.43, 1 Th 3.24
Te (0.8237, 0.2828, 0.1969) x1  6 Tm 3.05-3.22, 2 Th 3.29-3.39

Values from the calculation:
Volume   29.6 A^3/atom
Energy relative to the elements, uncorrected   -0.52 eV per atom

Entry 2:
DFT (PBE-GGA) results for a geometry-optimized Tm3ThTe2 structure.

Cell: 16.5753 4.0272 11.3355 Å, 90.00 109.22 90.00°
With the nearest neighbours (Å) after each atom.
Space group C2/m (No. 12)
Unique sites:
Tm (0.0602, 0.0000, 0.4032) x4  2 Te 3.20, 7 Tm 3.35-3.52
Tm (0.1229, 0.5000, 0.6562) x4  2 Te 3.07, 2 Tm 3.38
Tm (0.2153, 0.5000, 0.3775) x4  2 Te 3.05-3.36, 4 Tm 3.31-3.35
Th (0.1177, 0.0000, 0.0372) x4  7 Te 3.18-3.33
Te (0.0156, 0.5000, 0.1717) x4  4 Tm 3.20-3.47, 4 Th 3.31-3.33
Te (0.2270, 0.0000, 0.8519) x4  3 Tm 3.05-3.07, 3 Th 3.18-3.19

Values from the calculation:
Volume   29.8 A^3/atom
Energy relative to the elements, uncorrected   -0.72 eV per atom

Entry 3:
DFT (PBE-GGA) results for a geometry-optimized TmThTe2 structure.

Cell: 4.1473 4.1473 24.0799 Å, 90.00 90.00 120.00°
With the nearest neighbours (Å) after each atom.
Space group R3m (No. 160, hexagonal axes)
Unique sites:
Tm (0.0000, 0.0000, 0.0000) x3  6 Te 3.02-3.06
Th (0.0000, 0.0000, 0.1688) x3  6 Te 3.19-3.23
Te (0.0000, 0.0000, 0.4122) x3  3 Tm 3.06, 3 Th 3.23
Te (0.0000, 0.0000, 0.5899) x3  3 Tm 3.02, 3 Th 3.19

Values from the calculation:
Volume   29.9 A^3/atom
Energy above the lowest structure with this stoichiometry   0 meV per atom
Energy relative to the elements, uncorrected   -1.11 eV per atom

Entry 4:
DFT (PBE-GGA) results for a geometry-optimized TmTh2Te4 structure.

Cell: 4.1366 14.1480 15.8823 Å, 90.00 90.00 90.00°
With the nearest neighbours (Å) after each atom.
Space group Cmcm (No. 63)
Unique sites:
Tm (0.0000, 0.1050, 0.2500) x4  6 Te 3.08
Th (0.0000, 0.3495, 0.0625) x8  6 Te 3.13-3.26
Te (0.0000, 0.0000, 0.0000) x4  4 Th 3.13
Te (0.0000, 0.3007, 0.6337) x8  2 Tm 3.08, 3 Th 3.17-3.19
Te (0.0000, 0.4440, 0.2500) x4  2 Tm 3.08, 2 Th 3.26

Values from the calculation:
Volume   33.2 A^3/atom
Energy relative to the elements, uncorrected   -1.11 eV per atom

Entry 5:
DFT (PBE-GGA) results for a geometry-optimized TmThTe2 structure.

Cell: 7.5927 7.5927 7.5927 Å, 90.00 90.00 90.00°
With the nearest neighbours (Å) after each atom.
Space group Fm-3m (No. 225)
Unique sites:
Tm (0.0000, 0.0000, 0.0000) x4  8 Te 3.29
Th (0.0000, 0.0000, 0.5000) x4  8 Te 3.29
Te (0.2500, 0.2500, 0.2500) x8  4 Th 3.29, 4 Tm 3.29

Values from the calculation:
Volume   27.4 A^3/atom
Energy above the lowest structure with this stoichiometry   58 meV per atom
Energy relative to the elements, uncorrected   -1.06 eV per atom

Entry 6:
DFT (PBE-GGA) results for a geometry-optimized TmThTe2 structure.

Cell: 4.1566 4.1566 23.8322 Å, 90.00 90.00 120.00°
With the nearest neighbours (Å) after each atom.
Space group R-3m (No. 166, hexagonal axes)
Unique sites:
Tm (0.0000, 0.0000, 0.0000) x3  6 Te 3.02
Th (0.0000, 0.0000, 0.5000) x3  6 Te 3.21
Te (0.0000, 0.0000, 0.2561) x6  3 Tm 3.02, 3 Th 3.21

Values from the calculation:
Volume   29.7 A^3/atom
Energy above the lowest structure with this stoichiometry   16 meV per atom
Energy relative to the elements, uncorrected   -1.10 eV per atom

Entry 7:
DFT (PBE-GGA) results for a geometry-optimized TmThTe3 structure.

Cell: 4.4052 22.3281 7.6681 Å, 90.00 90.00 90.00°
With the nearest neighbours (Å) after each atom.
Space group Cmc2_1 (No. 36)
Unique sites:
Tm (0.0000, 0.1651, 0.0000) x4  6 Te 3.00-3.18
Th (0.0000, 0.3393, 0.0020) x4  6 Te 3.07-3.24
Te (0.0000, 0.0859, 0.3194) x4  1 Tm 3.02, 2 Th 3.10
Te (0.0000, 0.2508, 0.6684) x4  3 Tm 3.17-3.18, 3 Th 3.23-3.24
Te (0.0000, 0.4091, 0.3468) x4  2 Tm 3.00, 1 Th 3.07

Values from the calculation:
Volume   37.7 A^3/atom
Energy above the lowest structure with this stoichiometry   104 meV per atom
Energy relative to the elements, uncorrected   -1.18 eV per atom

Entry 8:
DFT (PBE-GGA) results for a geometry-optimized TmThTe2 structure.

Cell: 5.3410 5.3410 3.8315 Å, 90.00 90.00 90.00°
With the nearest neighbours (Å) after each atom.
Space group P4/mmm (No. 123)
Unique sites:
Tm (0.0000, 0.0000, 0.0000) x1  8 Te 3.29
Th (0.5000, 0.5000, 0.0000) x1  8 Te 3.29
Te (0.0000, 0.5000, 0.5000) x2  4 Th 3.29, 4 Tm 3.29

Values from the calculation:
Volume   27.3 A^3/atom
Energy above the lowest structure with this stoichiometry   25 meV per atom
Energy relative to the elements, uncorrected   -1.09 eV per atom

Entry 9:
DFT (PBE-GGA) results for a geometry-optimized YTmTh2Te5 structure.

Cell: 5.3839 5.3839 11.5213 Å, 90.00 90.00 90.00°
With the nearest neighbours (Å) after each atom.
Space group P4/mmm (No. 123)
Unique sites:
Y (0.0000, 0.0000, 0.0000) x1  2 Te 2.85
Tm (0.0000, 0.0000, 0.5000) x1  6 Te 2.69-2.91
Th (0.5000, 0.5000, 0.3361) x2  4 Te 3.29
Te (0.0000, 0.0000, 0.2472) x2  1 Y 2.85, 1 Tm 2.91
Te (0.0000, 0.5000, 0.5000) x2  2 Tm 2.69
Te (0.5000, 0.5000, 0.0000) x1  4 Y 3.81, 2 Th 3.87

Values from the calculation:
Volume   37.1 A^3/atom
Energy relative to the elements, uncorrected   -0.56 eV per atom

Entry 10:
DFT (PBE-GGA) results for a geometry-optimized Y2TmTh3Te6 structure.

Cell: 19.9364 4.2284 9.2036 Å, 90.00 111.21 90.00°
With the nearest neighbours (Å) after each atom.
Space group C2/m (No. 12)
Unique sites:
Y (0.1675, 0.0000, 0.3329) x4  6 Te 3.05-3.08
Tm (0.0000, 0.5000, 0.0000) x2  6 Te 3.03-3.04
Th (0.0000, 0.5000, 0.5000) x2  6 Te 3.19-3.22
Th (0.1675, 0.0000, 0.8327) x4  6 Te 3.19-3.21
Te (0.0027, 0.0000, 0.2389) x4  2 Tm 3.04, 1 Y 3.08, 3 Th 3.21-3.22
Te (0.1618, 0.5000, 0.0882) x4  1 Tm 3.03, 2 Y 3.06, 3 Th 3.20-3.21
Te (0.1693, 0.5000, 0.5744) x4  3 Y 3.05-3.06, 3 Th 3.19

Values from the calculation:
Volume   30.1 A^3/atom
Energy relative to the elements, uncorrected   -1.13 eV per atom

Entry 11:
DFT (PBE-GGA) results for a geometry-optimized Y2Tm3ThTe6 structure.

Cell: 19.3848 4.2626 8.8880 Å, 90.00 106.94 90.00°
With the nearest neighbours (Å) after each atom.
Space group C2/m (No. 12)
Unique sites:
Y (0.1559, 0.0000, 0.3085) x4  6 Te 2.99-3.23
Tm (0.0000, 0.5000, 0.5000) x2  6 Te 2.99-3.16
Tm (0.1619, 0.0000, 0.8216) x4  6 Te 2.94-3.08
Th (0.0000, 0.5000, 0.0000) x2  6 Te 3.17-3.23
Te (0.0034, 0.0000, 0.7379) x4  3 Tm 2.94-2.99, 1 Y 2.99, 2 Th 3.17
Te (0.1699, 0.5000, 0.5771) x4  3 Tm 3.08-3.16, 3 Y 3.15-3.23
Te (0.1732, 0.5000, 0.0711) x4  3 Tm 3.04-3.06, 2 Y 3.09, 1 Th 3.23

Values from the calculation:
Volume   29.3 A^3/atom
Energy relative to the elements, uncorrected   -1.19 eV per atom

Entry 12:
DFT (PBE-GGA) results for a geometry-optimized ThUTe structure.

Cell: 11.6278 3.6618 8.2109 Å, 90.00 106.31 90.00°
With the nearest neighbours (Å) after each atom.
Space group C2/m (No. 12)
Unique sites:
Th (0.1753, 0.0000, 0.1434) x4  5 Te 3.20-3.41, 1 U 3.39
U (0.1147, 0.0000, 0.5234) x4  1 U 2.59
Te (0.0402, 0.5000, 0.7907) x4  4 U 3.16-3.26, 5 Th 3.20-3.41

Values from the calculation:
Volume   28.0 A^3/atom
Energy relative to the elements, uncorrected   -0.27 eV per atom